VASP calculation (PBE-GGA) on crystalline KHgCl at its relaxed geometry.

Output
relative energy among the computed polymorphs = 62 meV/atom
total DFT energy (no corrections) = -6.77 eV per cell

abc: 8.048 8.048 4.328
angles: 74.40 74.40 31.20
Element x y z (fractional)
Cl1 0.094 0.094 0.906
Hg1 0.326 0.326 0.674
K1 0.580 0.580 0.420

VASP calculation (PBE-GGA) on crystalline Ca3DyY2Se6 at its relaxed geometry.

Output
total DFT energy (no corrections) = -67.01 eV per cell

abc: 7.118 7.118 7.240
angles: 99.46 99.46 119.94
Element x y z (fractional)
Se1 0.415 0.082 0.246
Se2 0.918 0.585 0.754
Se3 0.082 0.415 0.246
Se4 0.251 0.251 0.754
Se5 0.749 0.749 0.246
Se6 0.585 0.918 0.754
Y1 0.666 0.334 0.000
Y2 0.334 0.666 0.000
Ca1 0.833 0.167 0.500
Ca2 0.167 0.833 0.500
Ca3 0.500 0.500 0.500
Dy1 0.000 0.000 0.000

VASP calculation (PBE-GGA) on crystalline Dy5Er4Sc at its relaxed geometry.

Output
E_form = 1.1 eV per formula unit
relative energy among the computed polymorphs = 0 meV/atom
total DFT energy (no corrections) = -46.47 eV per cell

abc: 3.441 10.788 8.846
angles: 73.43 101.21 90.00
Element x y z (fractional)
Dy1 0.207 0.400 0.414
Dy2 0.500 0.500 0.000
Dy3 0.894 0.285 0.789
Dy4 0.106 0.715 0.211
Dy5 0.793 0.600 0.586
Sc1 0.500 0.000 0.000
Er1 0.907 0.810 0.815
Er2 0.093 0.190 0.185
Er3 0.696 0.918 0.392
Er4 0.304 0.082 0.608

VASP calculation (PBE-GGA) on crystalline Sm3YTc8 at its relaxed geometry.

Output
E_form = -0.5 eV per formula unit
total DFT energy (no corrections) = -104.10 eV per cell

abc: 5.423 5.423 9.510
angles: 73.43 73.43 60.00
Element x y z (fractional)
Sm1 0.500 0.500 0.500
Sm2 0.000 0.000 0.000
Sm3 0.375 0.375 0.875
Tc1 0.938 0.938 0.685
Tc2 0.437 0.437 0.189
Tc3 0.439 0.938 0.685
Tc4 0.687 0.687 0.938
Tc5 0.936 0.437 0.189
Tc6 0.188 0.188 0.437
Tc7 0.437 0.936 0.189
Tc8 0.938 0.439 0.685
Y1 0.875 0.875 0.374

VASP calculation (PBE-GGA) on crystalline LaPr2PbC at its relaxed geometry.

Output
E_form = -1.9 eV per formula unit
total DFT energy (no corrections) = -29.35 eV per cell

abc: 5.205 5.205 5.205
angles: 90.00 90.00 90.00
Element x y z (fractional)
La1 0.500 0.000 0.000
Pr1 0.000 0.500 0.000
Pr2 0.000 0.000 0.500
Pb1 0.500 0.500 0.500
C1 0.000 0.000 0.000

VASP calculation (PBE-GGA) on crystalline Dy6Er16Tm7 at its relaxed geometry.

Output
E_form = 7.1 eV per formula unit
total DFT energy (no corrections) = -124.80 eV per cell

abc: 10.953 10.953 10.953
angles: 60.00 60.00 60.00
Element x y z (fractional)
Dy1 0.717 0.717 0.283
Dy2 0.717 0.283 0.717
Dy3 0.283 0.717 0.283
Dy4 0.283 0.283 0.717
Dy5 0.283 0.717 0.717
Dy6 0.717 0.283 0.283
Tm1 0.000 0.000 0.000
Tm2 0.000 0.000 0.500
Tm3 0.500 0.000 0.500
Tm4 0.000 0.500 0.000
Tm5 0.500 0.500 0.000
Tm6 0.500 0.000 0.000
Tm7 0.000 0.500 0.500
Er1 0.653 0.653 0.041
Er2 0.878 0.878 0.365
Er3 0.347 0.347 0.347
Er4 0.959 0.347 0.347
Er5 0.878 0.365 0.878
Er6 0.347 0.347 0.959
Er7 0.878 0.878 0.878
Er8 0.653 0.653 0.653
Er9 0.122 0.122 0.635
Er10 0.365 0.878 0.878
Er11 0.347 0.959 0.347
Er12 0.635 0.122 0.122
Er13 0.122 0.635 0.122
Er14 0.653 0.041 0.653
Er15 0.122 0.122 0.122
Er16 0.041 0.653 0.653

VASP calculation (PBE-GGA) on crystalline K2SrHN at its relaxed geometry.

Output
total DFT energy (no corrections) = -11.98 eV per cell

abc: 4.429 7.549 4.429
angles: 90.00 90.00 90.00
Element x y z (fractional)
H1 0.000 0.000 0.000
K1 0.500 0.000 0.000
K2 0.000 0.000 0.500
N1 0.000 0.500 0.000
Sr1 0.500 0.500 0.500

VASP calculation (PBE-GGA) on crystalline KFe2SbPb at its relaxed geometry.

Output
total DFT energy (no corrections) = -21.71 eV per cell

abc: 4.970 6.134 4.970
angles: 90.00 90.00 90.00
Element x y z (fractional)
Sb1 0.000 0.000 0.000
K1 0.500 0.500 0.500
Pb1 0.000 0.500 0.000
Fe1 0.000 0.000 0.500
Fe2 0.500 0.000 0.000

VASP calculation (PBE-GGA) on crystalline La6HC2Cl3 at its relaxed geometry.

Output
total DFT energy (no corrections) = -68.90 eV per cell

abc: 6.708 6.708 7.528
angles: 98.60 98.60 119.92
Element x y z (fractional)
H1 0.000 0.000 0.000
La1 0.065 0.414 0.198
La2 0.717 0.717 0.199
La3 0.935 0.586 0.802
La4 0.414 0.065 0.198
La5 0.283 0.283 0.801
La6 0.586 0.935 0.802
C1 0.334 0.666 0.000
C2 0.666 0.334 0.000
Cl1 0.168 0.832 0.500
Cl2 0.500 0.500 0.500
Cl3 0.832 0.168 0.500

VASP calculation (PBE-GGA) on crystalline Co2ReRh at its relaxed geometry.

Output
E_form = 0.2 eV per formula unit
relative energy among the computed polymorphs = 29 meV/atom
total DFT energy (no corrections) = -33.79 eV per cell

abc: 3.980 2.621 4.990
angles: 74.77 90.00 90.00
Element x y z (fractional)
Co1 0.000 0.189 0.997
Co2 0.500 0.060 0.255
Re1 0.000 0.453 0.469
Rh1 0.500 0.798 0.779

VASP calculation (PBE-GGA) on crystalline Ta2CuRu at its relaxed geometry.

Output
E_form = 0.0 eV per formula unit
total DFT energy (no corrections) = -37.07 eV per cell

abc: 5.067 5.067 5.067
angles: 135.59 135.59 64.62
Element x y z (fractional)
Ta1 0.000 0.000 0.000
Ta2 0.250 0.750 0.500
Ru1 0.750 0.250 0.500
Cu1 0.500 0.500 0.000

VASP calculation (PBE-GGA) on crystalline Tb5Tm2Th2 at its relaxed geometry.

Output
E_form = 2.2 eV per formula unit
relative energy among the computed polymorphs = 0 meV/atom
total DFT energy (no corrections) = -89.38 eV per cell

abc: 11.861 6.610 10.034
angles: 109.23 126.23 90.00
Element x y z (fractional)
Tb1 0.203 0.661 0.892
Tb2 0.977 0.157 0.500
Tb3 0.023 0.657 0.500
Tb4 0.810 0.268 0.108
Tb5 0.368 0.045 0.286
Tb6 0.190 0.161 0.892
Tb7 0.797 0.768 0.108
Tb8 0.632 0.760 0.714
Tb9 0.418 0.545 0.286
Tb10 0.582 0.260 0.714
Tm1 0.379 0.925 0.751
Tm2 0.871 0.425 0.751
Tm3 0.621 0.174 0.249
Tm4 0.129 0.674 0.249
Th1 0.000 0.019 0.000
Th2 0.500 0.519 0.000
Th3 0.247 0.326 0.500
Th4 0.753 0.826 0.500

> What is the total DFT energy (no corrections) in the fifth record?

-29.35 eV per cell

> Number 10 is which compound?

Co2ReRh

> Look up the total DFT energy (no corrections) of the sixth one.

-124.80 eV per cell

> The highest total DFT energy (no corrections) belongs to which entry?

KHgCl